No. 1
# HfBeAsSe2

An optimized crystal structure of HfBeAsSe2 (PBE, Alexandria).

abc: 5.1063 5.1063 5.2538
angles: 90.00 90.00 90.00
With the nearest neighbours (Å) after each atom.
Element x y z (fractional)
Hf (0.0000, 0.0000, 0.0000)  4 Se 2.55, 2 As 2.63
Be (0.5000, 0.5000, 0.5000)  4 As 3.61, 8 Se 3.66
As (0.0000, 0.0000, 0.5000)  2 Hf 2.63
Se (0.0000, 0.5000, 0.0000)  2 Hf 2.55
Se (0.5000, 0.0000, 0.0000)  2 Hf 2.55

ΔE_f (raw) = 0.351 eV per atom
V = 27.40 Å³/atom
Energy above the most stable polymorph in this dataset = 216 meV/atom
M_tot = 0.000 Bohr magnetons per cell

---

No. 2
# YTh4Pt4

An optimized crystal structure of YTh4Pt4 (PBE, Alexandria).

abc: 7.2005 7.2005 9.3278
angles: 130.30 130.30 47.34
With the nearest neighbours (Å) after each atom.
Element x y z (fractional)
Y (0.0000, 0.0000, 0.0000)  4 Pt 2.91
Th (0.2006, 0.2006, 0.7991)  5 Pt 2.89-2.98
Th (0.4021, 0.4021, 0.6032)  5 Pt 2.89-2.98
Th (0.5979, 0.5979, 0.3968)  5 Pt 2.89-2.98
Th (0.7994, 0.7994, 0.2009)  5 Pt 2.89-2.98
Pt (0.0991, 0.0991, 0.3950)  5 Th 2.89-2.98, 1 Y 2.91
Pt (0.2960, 0.2960, 0.1974)  5 Th 2.89-2.98, 1 Y 2.91
Pt (0.7040, 0.7040, 0.8026)  5 Th 2.89-2.98, 1 Y 2.91
Pt (0.9009, 0.9009, 0.6050)  5 Th 2.89-2.98, 1 Y 2.91

Calculated formation energy = -97 kJ/mol of atoms
V = 27.98 Å³/atom
M_tot = 0.000 Bohr magnetons per cell

---

Which formula does entry 2 have? YTh4Pt4

---

Among the records above, which one has the lowest V? HfBeAsSe2